# 1
# PBE LiYCl, optimized geometry
# Mass density, g/cm³: 3.117
# Calculated volume, Å³ per atom: 23.32
data_LiYCl
_chemical_formula_sum 'Li4 Y4 Cl4'
_cell_length_a 6.5405
_cell_length_b 6.5405
_cell_length_c 6.5405
_cell_angle_alpha 90.00
_cell_angle_beta 90.00
_cell_angle_gamma 90.00
_symmetry_space_group_name_H-M 'F -4 3 m'
_symmetry_Int_Tables_number 216
_symmetry_space_group_name_Hall 'F -4 2 3'
loop_
_atom_site_label
_atom_site_fract_x
_atom_site_fract_y
_atom_site_fract_z
Li1 0.0000 0.0000 0.0000
Y1 0.0000 0.0000 0.5000
Cl1 0.2500 0.2500 0.7500



# 2
# PBE Li2YCl, optimized geometry
# Mass density, g/cm³: 2.563
# Calculated volume, Å³ per atom: 22.39
data_Li2YCl
_chemical_formula_sum 'Li4 Y2 Cl2'
_cell_length_a 10.4917
_cell_length_b 3.2719
_cell_length_c 5.8560
_cell_angle_alpha 90.00
_cell_angle_beta 116.98
_cell_angle_gamma 90.00
_symmetry_space_group_name_H-M 'C 1 m 1'
_symmetry_Int_Tables_number 8
loop_
_symmetry_equiv_pos_as_xyz
'x,y,z'
'x,-y,z'
'x+1/2,y+1/2,z'
'x+1/2,-y+1/2,z'
loop_
_atom_site_label
_atom_site_fract_x
_atom_site_fract_y
_atom_site_fract_z
Li1 0.0000 0.0000 0.0000
Li2 0.2071 0.0000 0.7819
Y1 0.3248 0.5000 0.3728
Cl1 0.0600 0.5000 0.3837



| no. | DOS at the Fermi energy (states/eV/f.u.) | distance to the lowest polymorph of the same formula (meV per atom) |
| --- | --- | --- |
| 1 | 1.50 | 442 |
| 2 | 2.68 | 166 |